[1]
Crystalline Li2ZrP at its relaxed geometry, computed with PBE-GGA.

Cell lengths 2.782, 2.782, 8.999 Å; angles 90.00, 90.00, 97.82 degrees
Positions (direct):
Li 0.000 0.000 0.195
Li 0.000 0.000 0.805
Zr 0.500 0.500 0.500
P 0.500 0.500 0.000

Summary:
The formation energy is -0.06 eV/atom. The total magnetic moment is 0.0 μB per cell. The density of states at the Fermi level is 1.17 states/eV per cell. As for the space group: Cmmm (65).

***

[2]
Crystalline LiZrP2 at its relaxed geometry, computed with PBE-GGA.

Cell lengths 3.707, 3.707, 5.226 Å; angles 90.00, 90.00, 90.00 degrees
Positions (direct):
Li 0.000 0.000 0.000
Zr 0.500 0.500 0.581
P 0.000 0.000 0.503
P 0.500 0.500 0.066

Summary:
The formation energy is -0.67 eV/atom. The value obtained for the offset from the most stable computed form is 158 meV per atom. The total magnetic moment is 0.0 μB per cell. The density of states at the Fermi level is 1.80 states/eV per cell. As for the space group: P4mm (99).

***

[3]
Crystalline Li3ZrP at its relaxed geometry, computed with PBE-GGA.

Cell lengths 4.443, 4.443, 4.443 Å; angles 90.00, 90.00, 90.00 degrees
Positions (direct):
Li 0.000 0.000 0.500
Li 0.000 0.500 0.000
Li 0.500 0.000 0.000
Zr 0.500 0.500 0.500
P 0.000 0.000 0.000

Summary:
The formation energy is 0.20 eV/atom. The value obtained for the offset from the most stable computed form is 0 meV per atom. The total magnetic moment is 1.5 μB per cell. The density of states at the Fermi level is 3.18 states/eV per cell. As for the space group: Pm-3m (221).

***

[4]
Crystalline LiZrP2 at its relaxed geometry, computed with PBE-GGA.

Cell lengths 3.783, 3.783, 6.412 Å; angles 106.83, 106.83, 59.76 degrees
Positions (direct):
Li 0.000 0.000 0.000
Zr 0.500 0.500 0.500
P 0.247 0.247 0.745
P 0.753 0.753 0.255

Summary:
The formation energy is -0.71 eV/atom. The value obtained for the offset from the most stable computed form is 114 meV per atom. The total magnetic moment is 0.0 μB per cell. The density of states at the Fermi level is 2.16 states/eV per cell. As for the space group: C2/m (12).